First-principles (PBE) data for crystalline Cs2CdCu2 at its relaxed geometry, as listed in Alexandria.

The structure in POSCAR format:
```
Cs2CdCu2
1.0
-3.516 3.516 3.894
3.516 -3.516 3.894
3.516 3.516 -3.894
Cs Cd Cu
2 1 2
Direct
0.250 0.750 0.500
0.750 0.250 0.500
0.000 0.000 0.000
0.345 0.345 0.000
0.655 0.655 0.000
```

Summary:
- Energy of formation: 0.309 eV per atom
- Total moment: 0.00 μB/cell